HfAsPbBr2 (PBE-GGA, optimized geometry); formation energy (no corrections) = 3.63 eV per formula unit; energy above the most stable polymorph in this dataset = 1083 meV per atom; calculated total energy = -3.61 eV per atom; SG = No. 123
1.0
5.525 0.000 0.000
0.000 5.525 0.000
0.000 0.000 5.676
Pb As Hf Br
1 1 1 2
direct
0.000 0.000 0.000
0.000 0.000 0.500
0.500 0.500 0.500
0.000 0.500 0.000
0.500 0.000 0.000

***

YCo2As (PBE-GGA, optimized geometry); calculated total energy = -6.25 eV per atom; energy relative to the elements = 0.085 eV per atom; SG = No. 12
1.0
3.982 0.009 0.024
-1.951 4.735 0.332
0.080 1.420 3.744
As Co Y
1 2 1
direct
0.500 0.500 0.000
0.000 0.000 0.000
0.500 0.000 0.500
0.000 0.500 0.500

***

Zr2ScGeBr (PBE-GGA, optimized geometry); formation energy (no corrections) = 1.41 eV per formula unit; energy above the most stable polymorph in this dataset = 0 meV per atom; calculated total energy = -5.66 eV per atom; SG = No. 123
1.0
-4.541 -1.029 -2.220
-0.481 -4.155 2.909
-2.398 2.802 3.607
Sc Ge Br Zr
1 1 1 2
direct
0.000 0.500 0.000
0.000 0.000 0.000
0.500 0.500 0.500
0.000 0.000 0.500
0.500 0.000 0.000

***

Pu6HfO12 (PBE-GGA, optimized geometry); formation energy (no corrections) = -60.18 eV per formula unit; calculated total energy = -11.35 eV per atom; SG = No. 148
1.0
6.492 0.190 -1.184
-1.452 6.330 -1.184
0.147 0.190 6.597
Pu Hf O
6 1 12
direct
0.137 0.297 0.601
0.703 0.399 0.863
0.399 0.863 0.703
0.863 0.703 0.399
0.297 0.601 0.137
0.601 0.137 0.297
0.000 0.000 0.000
0.435 0.177 0.589
0.177 0.589 0.435
0.589 0.435 0.177
0.565 0.823 0.411
0.823 0.411 0.565
0.411 0.565 0.823
0.050 0.934 0.691
0.309 0.950 0.066
0.066 0.309 0.950
0.950 0.066 0.309
0.691 0.050 0.934
0.934 0.691 0.050

***

KNaTl4 (PBE-GGA, optimized geometry); energy above the most stable polymorph in this dataset = 0 meV per atom; calculated total energy = -2.06 eV per atom; energy relative to the elements = -0.082 eV per atom; SG = No. 191
1.0
-1.796 4.394 2.845
-3.058 -4.608 -0.195
3.345 -2.472 5.929
K Na Tl
1 1 4
direct
0.000 0.000 0.500
0.000 0.000 0.000
0.333 0.667 0.231
0.333 0.667 0.769
0.667 0.333 0.231
0.667 0.333 0.769

***

HoEr2Sc3As6 (PBE-GGA, optimized geometry); calculated total energy = -6.49 eV per atom; energy relative to the elements = -1.440 eV per atom; SG = No. 12
1.0
6.909 -0.001 0.002
-3.453 5.984 0.002
-1.152 -1.994 6.495
Ho Er Sc As
1 2 3 6
direct
0.000 0.000 0.000
0.333 0.667 0.000
0.667 0.333 0.000
0.166 0.834 0.500
0.834 0.166 0.500
0.500 0.500 0.500
0.912 0.578 0.737
0.754 0.754 0.263
0.088 0.422 0.263
0.578 0.912 0.737
0.246 0.246 0.737
0.422 0.088 0.263

***

NpTlPtO6 (PBE-GGA, optimized geometry); formation energy (no corrections) = -13.70 eV per formula unit; calculated total energy = -7.20 eV per atom; SG = No. 74
1.0
7.287 0.000 0.000
0.000 7.867 0.000
-3.643 -3.934 5.285
Np Tl Pt O
2 2 2 12
direct
0.500 0.500 0.000
0.500 0.000 0.000
0.921 0.671 0.843
0.079 0.329 0.157
0.500 0.000 0.500
0.000 0.000 0.500
0.429 0.679 0.858
0.828 0.078 0.655
0.820 0.056 0.247
0.427 0.691 0.247
0.427 0.056 0.247
0.820 0.691 0.247
0.571 0.321 0.142
0.172 0.922 0.345
0.180 0.944 0.753
0.573 0.309 0.753
0.573 0.944 0.753
0.180 0.309 0.753

***

MgScTlI6 (PBE-GGA, optimized geometry); formation energy (no corrections) = -9.25 eV per formula unit; calculated total energy = -3.20 eV per atom; SG = No. 163
1.0
-3.852 -5.227 -3.899
0.780 -0.684 7.502
-12.867 7.943 2.063
Mg Sc Tl I
2 2 2 12
direct
0.333 0.667 0.250
0.667 0.333 0.750
0.667 0.333 0.250
0.333 0.667 0.750
0.000 0.000 0.000
0.000 0.000 0.500
0.631 0.628 0.140
0.997 0.369 0.140
0.369 0.997 0.640
0.003 0.631 0.860
0.372 0.369 0.360
0.997 0.628 0.360
0.628 0.997 0.860
0.631 0.003 0.360
0.003 0.372 0.640
0.372 0.003 0.140
0.628 0.631 0.640
0.369 0.372 0.860

***

LaSnBr2O (PBE-GGA, optimized geometry); formation energy (no corrections) = -2.52 eV per formula unit; calculated total energy = -3.95 eV per atom; SG = No. 123
1.0
-3.157 -2.980 2.778
0.502 -3.371 -3.046
4.035 -1.798 2.656
O Sn Br La
1 1 2 1
direct
0.000 0.000 0.000
0.000 0.500 0.000
0.000 0.000 0.500
0.500 0.000 0.000
0.500 0.500 0.500

***

HfNb8 (PBE-GGA, optimized geometry); calculated total energy = -9.93 eV per atom; energy relative to the elements = 0.124 eV per atom; SG = No. 139
1.0
4.920 0.000 0.000
2.460 5.877 0.000
2.460 0.000 5.877
Hf Nb
1 8
direct
0.000 0.000 0.000
0.332 0.000 0.335
0.668 0.000 0.665
0.662 0.338 0.338
0.332 0.335 0.000
0.000 0.338 0.662
0.668 0.665 0.000
0.338 0.662 0.662
0.000 0.662 0.338

***

BiSeS (PBE-GGA, optimized geometry); formation energy (no corrections) = -0.41 eV per formula unit; energy above the most stable polymorph in this dataset = 40 meV per atom; calculated total energy = -3.97 eV per atom; SG = No. 2
1.0
4.089 0.583 -0.023
-1.154 7.133 -0.399
-0.614 -2.869 5.669
Bi Se S
2 2 2
direct
0.254 0.255 0.500
0.746 0.745 0.500
0.839 0.217 0.813
0.161 0.783 0.187
0.331 0.707 0.789
0.669 0.293 0.211

***

MnRh3 (PBE-GGA, optimized geometry); calculated total energy = -7.77 eV per atom; energy relative to the elements = 0.033 eV per atom; SG = No. 166
1.0
8.728 -0.033 -0.019
8.308 2.674 -0.019
8.308 1.288 2.343
Mn Rh
1 3
direct
0.000 0.000 0.000
0.254 0.254 0.254
0.500 0.500 0.500
0.746 0.746 0.746

***

AlAg2Mo (PBE-GGA, optimized geometry); calculated total energy = -4.85 eV per atom; energy relative to the elements = 0.219 eV per atom; SG = No. 8
1.0
-2.725 -4.357 -1.479
-1.347 -3.603 -3.715
2.722 -4.468 0.171
Mo Al Ag
1 1 2
direct
0.239 0.239 0.348
0.500 0.500 0.403
0.000 0.000 0.929
0.762 0.762 0.821

***

AcAlZn2Ag4 (PBE-GGA, optimized geometry); calculated total energy = -2.85 eV per atom; energy relative to the elements = -0.128 eV per atom; SG = No. 166
1.0
-1.595 -4.225 0.171
-0.934 -2.219 -3.824
7.931 -5.469 -1.433
Ac Al Zn Ag
1 1 2 4
direct
0.000 0.000 0.000
0.500 0.500 0.500
0.758 0.758 0.727
0.242 0.242 0.273
0.406 0.406 0.781
0.865 0.865 0.405
0.135 0.135 0.595
0.594 0.594 0.219

***

KNbH2 (PBE-GGA, optimized geometry); energy above the most stable polymorph in this dataset = 975 meV per atom; calculated total energy = -3.14 eV per atom; SG = No. 225
1.0
-3.332 -1.724 1.947
-3.915 0.914 -1.303
-2.312 -2.939 -1.971
H Nb K
2 1 1
direct
0.250 0.250 0.250
0.750 0.750 0.750
0.500 0.500 0.500
0.000 0.000 0.000

***

Y3HfRe (PBE-GGA, optimized geometry); energy above the most stable polymorph in this dataset = 955 meV per atom; calculated total energy = -6.73 eV per atom; energy relative to the elements = 1.627 eV per atom; SG = No. 221
1.0
5.400 0.000 0.000
0.000 5.400 0.000
0.000 0.000 5.400
Y Re Hf
3 1 1
direct
0.000 0.500 0.000
0.000 0.000 0.500
0.500 0.000 0.000
0.500 0.500 0.500
0.000 0.000 0.000

***

CaPr2HoTe4 (PBE-GGA, optimized geometry); formation energy (no corrections) = -11.47 eV per formula unit; calculated total energy = -5.02 eV per atom; SG = No. 10
1.0
-2.668 -2.435 2.542
6.100 -2.720 3.798
-2.517 6.520 3.605
Ca Pr Ho Te
1 2 1 4
direct
0.000 0.000 0.000
0.500 0.000 0.500
0.000 0.500 0.500
0.500 0.500 0.000
0.500 0.249 0.238
0.500 0.751 0.762
0.000 0.257 0.765
0.000 0.743 0.235

***

NiTeP2Pt (PBE-GGA, optimized geometry); formation energy (no corrections) = -1.33 eV per formula unit; energy above the most stable polymorph in this dataset = 35 meV per atom; calculated total energy = -5.42 eV per atom; SG = No. 1
1.0
3.915 0.000 0.000
1.621 3.889 0.000
0.399 1.393 6.080
Ni Te P Pt
1 1 2 1
direct
0.946 0.802 0.123
0.900 0.195 0.400
0.386 0.976 0.976
0.124 0.544 0.843
0.549 0.775 0.642

***

Ce2Y2Sb5 (PBE-GGA, optimized geometry); formation energy (no corrections) = -8.21 eV per formula unit; calculated total energy = -5.96 eV per atom; SG = No. 64
1.0
-7.776 0.673 2.622
1.299 -6.705 5.573
1.398 8.477 1.970
Ce Y Sb
4 4 10
direct
0.000 0.808 0.192
0.500 0.308 0.692
0.000 0.192 0.808
0.500 0.692 0.308
0.344 0.153 0.153
0.656 0.847 0.847
0.844 0.347 0.347
0.156 0.653 0.653
0.000 0.000 0.000
0.500 0.500 0.500
0.150 0.209 0.487
0.850 0.513 0.791
0.650 0.013 0.291
0.350 0.709 0.987
0.850 0.791 0.513
0.150 0.487 0.209
0.350 0.987 0.709
0.650 0.291 0.013

***

KTa2Cu (PBE-GGA, optimized geometry); energy above the most stable polymorph in this dataset = 0 meV per atom; calculated total energy = -6.64 eV per atom; energy relative to the elements = 0.580 eV per atom; SG = No. 35
1.0
2.896 0.006 0.000
-0.666 2.818 0.000
0.000 0.000 10.191
Cu K Ta
1 1 2
direct
0.000 0.000 0.456
0.500 0.500 0.726
0.000 0.000 0.052
0.500 0.500 0.266